(1)
The following is a DFT calculation (PBE+U) of SrFeN2O after structural relaxation.

Calculated values
* Fermi-level density of states: 5.237 states/eV/f.u.
* DFT total energy: -19.87 eV per cell

Unit cell a=4.3605 b=4.3605 c=4.5059 alpha=90.00 beta=90.00 gamma=90.00
With the nearest neighbours (Å) after each atom.
Fractional coordinates of all 5 atoms:
Sr  0.0000  0.0000  0.0000  4 N 2.18, 2 O 2.25
Fe  0.5000  0.5000  0.5000  4 O 3.08, 8 N 3.14
N  0.0000  0.5000  0.0000  2 Sr 2.18
N  0.5000  0.0000  0.0000  2 Sr 2.18
O  0.0000  0.0000  0.5000  2 Sr 2.25

***

(2)
The following is a DFT calculation (PBE+U) of SrFeN2O after structural relaxation.

Calculated values
* Fermi-level density of states: 2.563 states/eV/f.u.
* DFT total energy: -29.97 eV per cell

Unit cell a=3.8620 b=3.8620 c=4.1416 alpha=90.00 beta=90.00 gamma=90.00
With the nearest neighbours (Å) after each atom.
Fractional coordinates of all 5 atoms:
Sr  0.0000  0.0000  0.0000  4 O 2.73, 8 N 2.83
Fe  0.5000  0.5000  0.5000  4 N 1.93, 2 O 2.07
N  0.0000  0.5000  0.5000  2 Fe 1.93
N  0.5000  0.0000  0.5000  2 Fe 1.93
O  0.5000  0.5000  0.0000  2 Fe 2.07

***

(3)
The following is a DFT calculation (PBE+U) of SrFeNO2 after structural relaxation.

Calculated values
* Fermi-level density of states: 4.287 states/eV/f.u.
* DFT total energy: -22.11 eV per cell

Unit cell a=4.5519 b=4.5519 c=4.7367 alpha=90.00 beta=90.00 gamma=90.00
With the nearest neighbours (Å) after each atom.
Fractional coordinates of all 5 atoms:
Sr  0.0000  0.0000  0.0000  4 O 2.28, 2 N 2.37
Fe  0.5000  0.5000  0.5000  4 N 3.22, 8 O 3.28
N  0.0000  0.0000  0.5000  2 Sr 2.37
O  0.0000  0.5000  0.0000  2 Sr 2.28
O  0.5000  0.0000  0.0000  2 Sr 2.28